MgCr4Ir (PBE-GGA, optimized geometry); DOS at the Fermi energy = 7.12 states/eV/cell; ΔE_f = 96 meV per atom; calculated total energy = -8.062 eV/atom; calculated volume = 78.2 Å³/cell
1.0
1.782 0.559 4.421
-2.779 1.736 3.506
-1.455 -2.876 3.555
Mg Cr Ir
1 4 1
direct
0.000 0.000 0.000
0.627 0.627 0.118
0.627 0.118 0.627
0.627 0.627 0.627
0.118 0.627 0.627
0.250 0.250 0.250